[1]
LiZnTe | PBE | relaxed

a b c (Å): 3.4701 3.4701 6.4680
angles (deg): 90.00 90.00 120.00
Sites, in units of the cell vectors:
Li (0.0000, 0.0000, 0.0000)
Zn (0.3333, 0.6667, 0.6878)
Te (0.6667, 0.3333, 0.3267)

Output
Formation energy from raw total energies = -138 meV per atom
Magnetic moment = 0.0 μB per formula unit
DOS(E_F) = 0.4137 states/eV/atom
ΔE to the lowest computed polymorph = 202 meV/atom


[2]
LiZn4Te | PBE | relaxed

a b c (Å): 5.4094 5.4094 5.4094
angles (deg): 60.00 60.00 60.00
Sites, in units of the cell vectors:
Li (0.0000, 0.0000, 0.0000)
Zn (0.3745, 0.3745, 0.3745)
Zn (0.3745, 0.3745, 0.8766)
Zn (0.3745, 0.8766, 0.3745)
Zn (0.8766, 0.3745, 0.3745)
Te (0.7500, 0.7500, 0.7500)

Output
Formation energy from raw total energies = 24 meV per atom
Magnetic moment = 0.0 μB per formula unit
DOS(E_F) = 0.5458 states/eV/atom


Q: What is the formation energy from raw total energies in the first record?
A: -138 meV per atom